# 1
Crystalline Th2Zn2Si3 at its relaxed geometry, computed with PBE.

a b c (Å): 9.6310 9.6310 6.9608
angles (deg): 90.00 90.00 154.42
Positions (direct):
Th  0.0487  0.9513  0.7500
Th  0.1597  0.8403  0.2500
Th  0.8403  0.1597  0.7500
Th  0.9513  0.0487  0.2500
Zn  0.3212  0.6788  0.0669
Zn  0.3212  0.6788  0.4331
Zn  0.6788  0.3212  0.5669
Zn  0.6788  0.3212  0.9331
Si  0.2167  0.7833  0.7500
Si  0.4414  0.5586  0.5768
Si  0.4414  0.5586  0.9232
Si  0.5586  0.4414  0.0768
Si  0.5586  0.4414  0.4232
Si  0.7833  0.2167  0.2500

Calculated values
SG: Cmcm
ΔE_f (raw), meV per atom: -454
Volume, Å³ per atom: 19.9
Total magnetic moment, Bohr magnetons per cell: 0.0
Calculated total energy, hartree per atom: -0.1934


# 2
Crystalline Na2Ag3Cl7 at its relaxed geometry, computed with PBE.

a b c (Å): 13.5420 13.5420 6.8941
angles (deg): 90.00 90.00 28.71
Positions (direct):
Na  0.1415  0.6566  0.5000
Na  0.3434  0.8585  0.5000
Na  0.6566  0.1415  0.0000
Na  0.8585  0.3434  0.0000
Ag  0.0635  0.5750  0.0751
Ag  0.2874  0.7126  0.9650
Ag  0.4250  0.9365  0.0751
Ag  0.5750  0.0635  0.5751
Ag  0.7126  0.2874  0.4650
Ag  0.9365  0.4250  0.5751
Cl  0.0611  0.7820  0.1191
Cl  0.1358  0.2694  0.8887
Cl  0.2180  0.9389  0.1191
Cl  0.2694  0.1358  0.3887
Cl  0.2934  0.3891  0.7816
Cl  0.3475  0.6525  0.6028
Cl  0.3891  0.2934  0.2816
Cl  0.6109  0.7066  0.7816
Cl  0.6525  0.3475  0.1028
Cl  0.7066  0.6109  0.2816
Cl  0.7306  0.8642  0.8887
Cl  0.7820  0.0611  0.6191
Cl  0.8642  0.7306  0.3887
Cl  0.9389  0.2180  0.6191

Calculated values
SG: Cmc2_1
ΔE_f (raw), meV per atom: -814
Volume, Å³ per atom: 25.3
Total magnetic moment, Bohr magnetons per cell: 0.1
Calculated total energy, hartree per atom: -0.1038